Entry 1:
Computed, not measured: LiErZrS4 after structural relaxation at the PBE-GGA level of DFT. Values from VASP.

Geometry as Quantum ESPRESSO input:
```
&SYSTEM
  ibrav = 0, nat = 14, ntyp = 4
/
ATOMIC_SPECIES
Li 6.94 Li.upf
Er 167.26 Er.upf
Zr 91.22 Zr.upf
S 32.06 S.upf
CELL_PARAMETERS angstrom
7.5709 0.0000 0.0000
3.7854 6.7260 0.0552
3.7854 2.1016 6.3895
ATOMIC_POSITIONS angstrom
Li 7.5709 4.4970 0.8555
Li 7.5709 4.3306 5.5891
Er 0.0000 0.0000 0.0000
Er 3.7854 4.4138 3.2223
Zr 5.6782 1.0508 3.1947
Zr 1.8927 1.0508 3.1947
S 11.3563 6.7096 4.6914
S 7.5709 6.7290 4.7055
S 7.5709 2.0986 1.7391
S 3.7854 2.1180 1.7533
S 5.6323 5.7001 1.7338
S 9.5095 5.7001 1.7338
S 5.6323 3.1275 4.7109
S 9.5095 3.1275 4.7109
```

Properties
The crystal system is orthorhombic. Its uncorrected formation energy is -1.717 eV/atom. The space-group type is No. 74.

Entry 2:
Computed, not measured: ZrHPb after structural relaxation at the PBE-GGA level of DFT. Values from VASP.

Geometry as Quantum ESPRESSO input:
```
&SYSTEM
  ibrav = 0, nat = 6, ntyp = 3
/
ATOMIC_SPECIES
Pb 207.20 Pb.upf
H 1.01 H.upf
Zr 91.22 Zr.upf
CELL_PARAMETERS angstrom
3.7646 -0.1651 0.3676
-1.5730 5.6522 -0.8253
-0.6646 -3.0521 5.4556
ATOMIC_POSITIONS angstrom
Pb -1.2854 0.8436 3.7947
Pb 2.8124 1.5914 1.2033
H 0.8359 3.2761 2.7189
H 0.6911 -0.8411 2.2791
Zr 0.4821 -1.7606 4.0474
Zr 1.0448 4.1957 0.9506
```

Properties
The crystal system is triclinic. For the offset from the most stable computed form, the calculation gives 30 meV/atom. The space-group type is No. 2.

Entry 3:
Computed, not measured: HfAsIBr2 after structural relaxation at the PBE-GGA level of DFT. Values from VASP.

Geometry as Quantum ESPRESSO input:
```
&SYSTEM
  ibrav = 0, nat = 5, ntyp = 4
/
ATOMIC_SPECIES
I 126.90 I.upf
As 74.92 As.upf
Hf 178.49 Hf.upf
Br 79.90 Br.upf
CELL_PARAMETERS angstrom
5.1616 0.0000 0.0000
0.0000 5.1616 0.0000
0.0000 0.0000 5.5513
ATOMIC_POSITIONS angstrom
I 2.5808 2.5808 2.7757
As 0.0000 0.0000 2.7757
Hf 0.0000 0.0000 0.0000
Br 0.0000 2.5808 0.0000
Br 2.5808 0.0000 0.0000
```

Properties
The crystal system is tetragonal. For the offset from the most stable computed form, the calculation gives 0 meV/atom. Its uncorrected formation energy is -0.387 eV/atom. The space-group type is No. 123.

Entry 4:
Computed, not measured: ZnCd2Ni after structural relaxation at the PBE-GGA level of DFT. Values from VASP.

Geometry as Quantum ESPRESSO input:
```
&SYSTEM
  ibrav = 0, nat = 4, ntyp = 3
/
ATOMIC_SPECIES
Cd 112.41 Cd.upf
Ni 58.69 Ni.upf
Zn 65.41 Zn.upf
CELL_PARAMETERS angstrom
-2.3364 1.9288 0.4307
-1.3798 -1.1146 -2.4937
-3.3686 -4.9952 4.0965
ATOMIC_POSITIONS angstrom
Cd -0.0773 -0.1146 0.0939
Cd -1.6071 -2.3830 1.9543
Ni -2.7002 -0.8417 -0.0074
Zn -4.3846 -3.3393 2.0409
```

Properties
The crystal system is tetragonal. The formation energy is 0.07 eV per atom. The space-group type is No. 123.

Entry 5:
Computed, not measured: Sm2Ni3As4Ru after structural relaxation at the PBE-GGA level of DFT. Values from VASP.

Geometry as Quantum ESPRESSO input:
```
&SYSTEM
  ibrav = 0, nat = 10, ntyp = 4
/
ATOMIC_SPECIES
Sm 150.36 Sm.upf
Ni 58.69 Ni.upf
As 74.92 As.upf
Ru 101.07 Ru.upf
CELL_PARAMETERS angstrom
4.1679 0.0000 0.0000
0.0000 4.1679 0.0000
0.0000 0.0000 9.7510
ATOMIC_POSITIONS angstrom
Sm 2.0840 0.0000 2.3927
Sm 0.0000 2.0840 7.3583
Ni 0.0000 0.0000 4.8755
Ni 2.0840 0.0000 8.5838
Ni 0.0000 2.0840 1.1672
As 2.0840 2.0840 0.0000
As 0.0000 0.0000 0.0000
As 2.0840 0.0000 6.2279
As 0.0000 2.0840 3.5231
Ru 2.0840 2.0840 4.8755
```

Properties
The crystal system is tetragonal. The formation energy is -0.78 eV per atom. The space-group type is No. 115.

Entry 6:
Computed, not measured: PPdN2O after structural relaxation at the PBE-GGA level of DFT. Values from VASP.

Geometry as Quantum ESPRESSO input:
```
&SYSTEM
  ibrav = 0, nat = 5, ntyp = 4
/
ATOMIC_SPECIES
P 30.97 P.upf
O 16.00 O.upf
Pd 106.42 Pd.upf
N 14.01 N.upf
CELL_PARAMETERS angstrom
3.6969 0.0000 0.0000
0.0000 3.6969 0.0000
0.0000 0.0000 3.2619
ATOMIC_POSITIONS angstrom
P 0.0000 0.0000 0.0000
O 0.0000 0.0000 1.6310
Pd 1.8485 1.8485 1.6310
N 0.0000 1.8485 0.0000
N 1.8485 0.0000 0.0000
```

Properties
The crystal system is tetragonal. Its uncorrected formation energy is 0.601 eV/atom. The space-group type is No. 123.

Entry 7:
Computed, not measured: Hf2Sc2S7 after structural relaxation at the PBE-GGA level of DFT. Values from VASP.

Geometry as Quantum ESPRESSO input:
```
&SYSTEM
  ibrav = 0, nat = 11, ntyp = 3
/
ATOMIC_SPECIES
Hf 178.49 Hf.upf
Sc 44.96 Sc.upf
S 32.06 S.upf
CELL_PARAMETERS angstrom
-2.6476 1.9471 1.5976
-6.6908 -2.6914 -3.6287
-4.5210 -5.6525 3.5760
ATOMIC_POSITIONS angstrom
Hf -10.6443 -4.6058 0.5111
Hf -3.5985 -1.2679 -0.2391
Sc -6.2384 -3.3088 -2.1266
Sc -6.5327 -3.7401 2.0905
S -3.9800 -0.2584 2.0778
S -9.0280 -4.3491 2.8768
S -5.8731 -4.6402 4.2807
S -6.2063 -1.7683 0.2284
S -8.0902 -4.0321 -0.1346
S -9.4082 -6.7813 1.0317
S -3.9011 -3.3171 1.7569
```

Properties
The crystal system is orthorhombic. Its uncorrected formation energy is -1.562 eV/atom. The space-group type is No. 44.

Entry 8:
Computed, not measured: SrHfTi2Tl after structural relaxation at the PBE-GGA level of DFT. Values from VASP.

Geometry as Quantum ESPRESSO input:
```
&SYSTEM
  ibrav = 0, nat = 5, ntyp = 4
/
ATOMIC_SPECIES
Sr 87.62 Sr.upf
Tl 204.38 Tl.upf
Hf 178.49 Hf.upf
Ti 47.87 Ti.upf
CELL_PARAMETERS angstrom
-3.8824 -2.8148 1.3655
1.5320 0.1870 4.7412
-3.3312 5.0208 0.8784
ATOMIC_POSITIONS angstrom
Sr -1.6656 2.5104 0.4392
Tl -2.8408 1.1965 3.4926
Hf 0.0000 0.0000 0.0000
Ti 0.7660 0.0935 2.3706
Ti -1.9412 -1.4074 0.6828
```

Properties
The crystal system is tetragonal. The formation energy is 1.06 eV per atom. The space-group type is No. 123.